1.
## NpGaI6 (GGA-PBE)

Data for a relaxed structure of NpGaI6.

The value obtained for the volume is 356.0 Å³/cell. The value obtained for the total magnetization is 2.0 μB per cell. The calculation puts the energy relative to the elements, uncorrected at -4.5 eV per formula unit. The calculated total energy comes out at -3.716 eV per atom. As for the mass density: 5.0 g/cm3. For the energy above the most stable polymorph in this dataset, the calculation gives 8.5 meV/atom.

The structure belongs to space group P-1 (No. 2); the cell edges are 7.695, 7.699 and 8.236 Å and the angles 62.18°, 62.15° and 60.04°. The asymmetric unit holds Np at (0.000, 0.000, 0.000), Ga at (0.500, 0.500, 0.500), I at (0.078, 0.770, 0.755), I at (0.230, 0.604, 0.244) and I at (0.396, 0.079, 0.755).

***

2.
## NpGa2I5 (GGA-PBE)

Data for a relaxed structure of NpGa2I5.

The value obtained for the volume is 825.0 Å³/cell. The value obtained for the total magnetization is 7.5 μB per cell. The calculation puts the energy relative to the elements, uncorrected at -4.4 eV per formula unit. The calculated total energy comes out at -3.896 eV per atom. As for the mass density: 4.1 g/cm3.

The structure belongs to space group C2/m (No. 12); the cell edges are 6.026, 15.537 and 9.306 Å and the angles 90.00°, 108.78° and 90.00°. The asymmetric unit holds Np at (0.000, 0.000, 0.000), Ga at (0.239, 0.000, 0.479), I at (0.000, 0.500, 0.000) and I at (0.126, 0.136, 0.253).

***

3.
## NpGaI6 (GGA-PBE)

Data for a relaxed structure of NpGaI6.

The value obtained for the volume is 736.0 Å³/cell. The value obtained for the total magnetization is 6.2 μB per cell. The calculation puts the energy relative to the elements, uncorrected at -4.5 eV per formula unit. The calculated total energy comes out at -3.724 eV per atom. As for the mass density: 4.8 g/cm3. For the energy above the most stable polymorph in this dataset, the calculation gives 0.0 meV/atom.

The structure belongs to space group C2/m (No. 12); the cell edges are 7.462, 13.944 and 7.463 Å and the angles 90.00°, 108.60° and 90.00°. The asymmetric unit holds Np at (0.000, 0.000, 0.000), Ga at (0.000, 0.500, 0.500), I at (0.244, 0.000, 0.756) and I at (0.245, 0.353, 0.745).

***

4.
## NpGaPbI6 (GGA-PBE)

Data for a relaxed structure of NpGaPbI6.

The value obtained for the volume is 800.9 Å³/cell. The value obtained for the total magnetization is 8.0 μB per cell. The calculation puts the energy relative to the elements, uncorrected at -5.8 eV per formula unit. The calculated total energy comes out at -3.863 eV per atom. As for the mass density: 5.3 g/cm3.

The structure belongs to space group P-31c (No. 163); the cell edges are 8.0061, 8.0061 and 14.4286 Å and the angles 90.00°, 90.00° and 120.00°. The asymmetric unit holds Np at (0.3333, 0.6667, 0.2500), Ga at (0.3333, 0.6667, 0.7500), Pb at (0.0000, 0.0000, 0.0000) and I at (0.0160, 0.3510, 0.1244).